Below is a relaxed structure of Pm3Er2Tm3, with properties calculated at the PBE level.

## Properties
The formation energy from the elements comes out at 0.14 eV per atom. The value obtained for the relative energy among the computed polymorphs is 54.4 meV per atom. The mass density is 8.1 g cm⁻³. Its total energy is -4.454 eV per atom. The calculation puts the density of states at the Fermi level at 1.792 states/eV per atom.

Cell: 5.487 6.486 16.180 Å, 90.00 90.00 115.03°
Atoms (fractional coordinates):
Tm1 0.079 0.158 0.589
Tm2 0.740 0.480 0.250
Tm3 0.079 0.158 0.911
Tm4 0.260 0.520 0.750
Tm5 0.921 0.842 0.411
Tm6 0.921 0.842 0.089
Pm1 0.539 0.078 0.750
Pm2 0.384 0.768 0.552
Pm3 0.461 0.922 0.250
Pm4 0.616 0.232 0.448
Pm5 0.384 0.768 0.948
Pm6 0.616 0.232 0.052
Er1 0.776 0.551 0.867
Er2 0.224 0.449 0.367
Er3 0.776 0.551 0.633
Er4 0.224 0.449 0.133